(1)
First-principles (GGA-PBEsol) data for an optimized crystal structure of MnTl3, as listed in the Alexandria database.

Results
Energy, eV per atom: -3.9668

Cell: 5.7274 5.7274 5.7274 Å, 134.30 134.30 66.62°
Sites, in units of the cell vectors:
Mn (0.0000, 0.0000, 0.0000)
Tl (0.2500, 0.7500, 0.5000)
Tl (0.5000, 0.5000, 0.0000)
Tl (0.7500, 0.2500, 0.5000)

---

(2)
First-principles (GGA-PBEsol) data for an optimized crystal structure of MnTl3, as listed in the Alexandria database.

Results
Energy, eV per atom: -4.0253

Cell: 3.3323 3.3323 9.9200 Å, 90.00 90.00 120.00°
Sites, in units of the cell vectors:
Mn (0.0000, 0.0000, 0.0000)
Tl (0.0000, 0.0000, 0.5000)
Tl (0.3333, 0.6667, 0.2168)
Tl (0.3333, 0.6667, 0.7832)

---

(3)
First-principles (GGA-PBEsol) data for an optimized crystal structure of MnTl3, as listed in the Alexandria database.

Results
Energy, eV per atom: -4.0708

Cell: 3.2528 3.2528 8.9107 Å, 90.00 90.00 90.00°
Sites, in units of the cell vectors:
Mn (0.0000, 0.0000, 0.0000)
Tl (0.0000, 0.0000, 0.5000)
Tl (0.5000, 0.5000, 0.2022)
Tl (0.5000, 0.5000, 0.7978)

---

(4)
First-principles (GGA-PBEsol) data for an optimized crystal structure of MnTlW2, as listed in the Alexandria database.

Results
Energy, eV per atom: -9.4447

Cell: 3.2261 3.2261 6.2699 Å, 90.00 90.00 90.00°
Sites, in units of the cell vectors:
Mn (0.0000, 0.0000, 0.0000)
Tl (0.5000, 0.5000, 0.2604)
W (0.0000, 0.0000, 0.5604)
W (0.5000, 0.5000, 0.7808)

---

(5)
First-principles (GGA-PBEsol) data for an optimized crystal structure of MnTlW2, as listed in the Alexandria database.

Results
Energy, eV per atom: -9.3166

Cell: 3.4889 4.1753 4.3972 Å, 90.00 90.00 90.00°
Sites, in units of the cell vectors:
Mn (0.0000, 0.0000, 0.0000)
Tl (0.5000, 0.5000, 0.0000)
W (0.0000, 0.5000, 0.5000)
W (0.5000, 0.0000, 0.5000)

---

(6)
First-principles (GGA-PBEsol) data for an optimized crystal structure of MnTl2W, as listed in the Alexandria database.

Results
Energy, eV per atom: -6.3195

Cell: 4.9706 4.9706 5.3471 Å, 100.95 100.95 34.93°
Sites, in units of the cell vectors:
Mn (0.0000, 0.0000, 0.0000)
Tl (0.2529, 0.2529, 0.7513)
Tl (0.7471, 0.7471, 0.2487)
W (0.5000, 0.5000, 0.5000)

---

(7)
First-principles (GGA-PBEsol) data for an optimized crystal structure of Y2MnTl, as listed in the Alexandria database.

Results
Energy, eV per atom: -6.5795

Cell: 3.5493 3.5493 7.5166 Å, 90.00 90.00 90.00°
Sites, in units of the cell vectors:
Y (0.0000, 0.0000, 0.2263)
Y (0.0000, 0.0000, 0.7737)
Mn (0.5000, 0.5000, 0.0000)
Tl (0.5000, 0.5000, 0.5000)

---

(8)
First-principles (GGA-PBEsol) data for an optimized crystal structure of Zr2MnTl, as listed in the Alexandria database.

Results
Energy, eV per atom: -7.7455

Cell: 3.1668 3.1660 7.5178 Å, 90.00 90.06 90.00°
Sites, in units of the cell vectors:
Zr (0.0014, 0.0000, 0.2973)
Zr (0.9986, 0.0000, 0.7027)
Mn (0.5000, 0.5000, 0.5000)
Tl (0.5000, 0.5000, 0.0000)

---

(9)
First-principles (GGA-PBEsol) data for an optimized crystal structure of ZrMnTl, as listed in the Alexandria database.

Results
Energy, eV per atom: -6.6764

Cell: 4.4707 4.4707 4.4707 Å, 60.00 60.00 60.00°
Sites, in units of the cell vectors:
Zr (0.0000, 0.0000, 0.0000)
Mn (0.2500, 0.2500, 0.2500)
Tl (0.5000, 0.5000, 0.5000)

---

(10)
First-principles (GGA-PBEsol) data for an optimized crystal structure of ZrMnTl, as listed in the Alexandria database.

Results
Energy, eV per atom: -6.9727

Cell: 5.3629 5.3629 5.3629 Å, 143.83 143.83 52.08°
Sites, in units of the cell vectors:
Zr (0.0000, 0.0000, 0.0000)
Mn (0.3711, 0.3711, 0.0000)
Tl (0.7002, 0.7002, 0.0000)

---

(11)
First-principles (GGA-PBEsol) data for an optimized crystal structure of ZrMn2Tl, as listed in the Alexandria database.

Results
Energy, eV per atom: -7.3365

Cell: 5.2396 5.2396 2.9580 Å, 102.81 102.81 112.04°
Sites, in units of the cell vectors:
Zr (0.0000, 0.0000, 0.0000)
Mn (0.0000, 0.5000, 0.5000)
Mn (0.5000, 0.0000, 0.5000)
Tl (0.5000, 0.5000, 0.0000)

---

(12)
First-principles (GGA-PBEsol) data for an optimized crystal structure of ZrMnTl2, as listed in the Alexandria database.

Results
Energy, eV per atom: -5.7998

Cell: 5.5482 5.5482 5.5482 Å, 135.61 135.61 64.58°
Sites, in units of the cell vectors:
Zr (0.0000, 0.0000, 0.0000)
Mn (0.7500, 0.2500, 0.5000)
Tl (0.2500, 0.7500, 0.5000)
Tl (0.5000, 0.5000, 0.0000)

---

- What is the formula in the third record?
  MnTl3

---

- Which formula does entry 3 have?
  MnTl3